Ba3MnP after structural relaxation, computed with PBE. Values from VASP.

Calculated values
Uncorrected energy: -20.41 eV/f.u.
Space-group type: Pm-3m
ΔH_f (0 K): -0.01 eV per atom
ρ: 3.4 g/cm3
Offset from the most stable computed form: 0.000 eV/atom

Structure (Quantum ESPRESSO input):
```
&SYSTEM
  ibrav = 0, nat = 5, ntyp = 3
/
ATOMIC_SPECIES
Ba 137.33 Ba.upf
Mn 54.94 Mn.upf
P 30.97 P.upf
ATOMIC_POSITIONS crystal
Ba 0.000 0.000 0.500
Ba 0.000 0.500 0.000
Ba 0.500 0.000 0.000
Mn 0.500 0.500 0.500
P 0.000 0.000 0.000
CELL_PARAMETERS angstrom
6.244 0.000 0.000
0.000 6.244 0.000
0.000 0.000 6.244
```

---

Th4AsRuS2 after structural relaxation, computed with PBE. Values from VASP.

Calculated values
Formation energy without anion corrections: -1.344 eV/atom
Uncorrected energy: -62.61 eV/f.u.
Space-group type: P2/m
ρ: 9.6 g/cm3

Structure (Quantum ESPRESSO input):
```
&SYSTEM
  ibrav = 0, nat = 8, ntyp = 4
/
ATOMIC_SPECIES
Th 232.04 Th.upf
As 74.92 As.upf
Ru 101.07 Ru.upf
S 32.06 S.upf
ATOMIC_POSITIONS crystal
Th 0.237 0.000 0.234
Th 0.254 0.500 0.760
Th 0.746 0.500 0.240
Th 0.763 0.000 0.766
As 0.000 0.000 0.500
Ru 0.000 0.500 0.000
S 0.500 0.000 0.000
S 0.500 0.500 0.500
CELL_PARAMETERS angstrom
7.163 0.000 0.000
0.000 4.057 0.000
-2.378 0.000 6.947
```

---

Mo2HI after structural relaxation, computed with PBE. Values from VASP.

Calculated values
Uncorrected energy: -21.17 eV/f.u.
Space-group type: Fm-3m
ρ: 8.7 g/cm3
Offset from the most stable computed form: 0.621 eV/atom

Structure (Quantum ESPRESSO input):
```
&SYSTEM
  ibrav = 0, nat = 4, ntyp = 3
/
ATOMIC_SPECIES
Mo 95.94 Mo.upf
H 1.01 H.upf
I 126.90 I.upf
ATOMIC_POSITIONS crystal
Mo 0.250 0.250 0.250
Mo 0.750 0.750 0.750
H 0.000 0.000 0.000
I 0.500 0.500 0.500
CELL_PARAMETERS angstrom
0.000 3.121 3.121
3.121 0.000 3.121
3.121 3.121 0.000
```

---

What is the formula in the second record?
Th4AsRuS2